No. 1
Computed, not measured: an optimized crystal structure of KRbC2N at the PBE level of DFT.

a b c (Å): 5.3368 5.3368 8.3941
angles (deg): 90.00 90.00 90.00
Last column: nearest neighbours and their distance in Å.
Element x y z (fractional)
K  0.0000  0.0000  0.0000  4 C 2.67
Rb  0.0000  0.0000  0.5000  4 N 3.77, 2 K 4.20
C  0.0000  0.5000  0.0000  2 K 2.67
C  0.5000  0.0000  0.0000  2 K 2.67
N  0.5000  0.5000  0.5000  4 Rb 3.77

Calculated values
N(E_F)   6.77 states/eV/f.u.
Crystal system   tetragonal
E_form (uncorrected)   3.212 eV per atom
Uncorrected energy   -12.78 eV/f.u.
SG   No. 123

***

No. 2
Computed, not measured: an optimized crystal structure of TlIn2Te2S at the PBE level of DFT.

a b c (Å): 7.4172 7.2013 7.7440
angles (deg): 90.00 102.40 90.00
Last column: nearest neighbours and their distance in Å.
Element x y z (fractional)
Tl  0.2222  0.2500  0.1183  1 S 3.22, 2 Te 3.38-3.58
Tl  0.7778  0.7500  0.8817  1 S 3.22, 2 Te 3.38-3.58
In  0.2744  0.5123  0.6098  2 S 2.60-2.85, 1 Te 2.91
In  0.2744  0.9877  0.6098  2 S 2.60-2.85, 1 Te 2.91
In  0.7256  0.0123  0.3902  2 S 2.60-2.85, 1 Te 2.91
In  0.7256  0.4877  0.3902  2 S 2.60-2.85, 1 Te 2.91
Te  0.0212  0.7500  0.3337  4 In 3.00-3.05
Te  0.3327  0.7500  0.9207  2 In 2.91
Te  0.6673  0.2500  0.0793  2 In 2.91
Te  0.9788  0.2500  0.6663  4 In 3.00-3.05
S  0.4728  0.2500  0.5137  4 In 2.60-2.85
S  0.5272  0.7500  0.4863  4 In 2.60-2.85

Calculated values
N(E_F)   1.48 states/eV/f.u.
Crystal system   monoclinic
E_form (uncorrected)   -0.283 eV per atom
Uncorrected energy   -19.95 eV/f.u.
SG   No. 11

***

Among the records above, which one has the lowest uncorrected energy? TlIn2Te2S

***

Please write out number 2 again, unchanged.
Computed, not measured: an optimized crystal structure of TlIn2Te2S at the PBE level of DFT.

a b c (Å): 7.4172 7.2013 7.7440
angles (deg): 90.00 102.40 90.00
Last column: nearest neighbours and their distance in Å.
Element x y z (fractional)
Tl  0.2222  0.2500  0.1183  1 S 3.22, 2 Te 3.38-3.58
Tl  0.7778  0.7500  0.8817  1 S 3.22, 2 Te 3.38-3.58
In  0.2744  0.5123  0.6098  2 S 2.60-2.85, 1 Te 2.91
In  0.2744  0.9877  0.6098  2 S 2.60-2.85, 1 Te 2.91
In  0.7256  0.0123  0.3902  2 S 2.60-2.85, 1 Te 2.91
In  0.7256  0.4877  0.3902  2 S 2.60-2.85, 1 Te 2.91
Te  0.0212  0.7500  0.3337  4 In 3.00-3.05
Te  0.3327  0.7500  0.9207  2 In 2.91
Te  0.6673  0.2500  0.0793  2 In 2.91
Te  0.9788  0.2500  0.6663  4 In 3.00-3.05
S  0.4728  0.2500  0.5137  4 In 2.60-2.85
S  0.5272  0.7500  0.4863  4 In 2.60-2.85

Calculated values
N(E_F)   1.48 states/eV/f.u.
Crystal system   monoclinic
E_form (uncorrected)   -0.283 eV per atom
Uncorrected energy   -19.95 eV/f.u.
SG   No. 11